VASP calculation (GGA-PBE) on crystalline TiPtC at its relaxed geometry.

Uncorrected energy ... -47.7 eV per cell
SG ... No. 166
ΔE_f ... -22 kJ per mole of atoms
V ... 88.1 Å³/cell

CIF file:
```
data_TiPtC
_chemical_formula_sum 'Ti2 Pt2 C2'
_space_group_name_H-M_alt 'P 1'
_space_group_IT_number 1
_space_group_name_Hall 'P 1'
_cell_length_a 7.830
_cell_length_b 7.830
_cell_length_c 7.830
_cell_angle_alpha 27.14
_cell_angle_beta 27.14
_cell_angle_gamma 27.14
loop_
_atom_site_label
_atom_site_type_symbol
_atom_site_fract_x
_atom_site_fract_y
_atom_site_fract_z
Ti1 Ti 0.122 0.122 0.122
Ti2 Ti 0.878 0.878 0.878
Pt1 Pt 0.299 0.299 0.299
Pt2 Pt 0.701 0.701 0.701
C1 C 0.211 0.211 0.211
C2 C 0.789 0.789 0.789
```